Compound: LiLa2AgAu6
Source: the Alexandria database
Functional: PBE
Structure: optimized geometry

Cell: 5.4480 6.9551 7.1648 Å, 83.43 67.68 66.95°
Fractional positions:
Li 0.0000 0.0000 0.0000
La 0.4668 0.7726 0.2941
La 0.5332 0.2274 0.7059
Ag 0.0000 0.5000 0.5000
Au 0.0186 0.2085 0.2559
Au 0.1626 0.5890 0.0862
Au 0.4813 0.7908 0.7432
Au 0.5187 0.2092 0.2568
Au 0.8374 0.4110 0.9138
Au 0.9814 0.7915 0.7441

Properties
N(E_F) = 0.453 states/eV/atom
SG = No. 2
Uncorrected energy = -3.892 eV/atom